This record from Alexandria via LeMat-Bulk describes an optimized crystal structure of Dy5Ho6Sc2. The functional is PBE-GGA.

The structure in POSCAR format:
```
Dy5Ho6Sc2
1.0
3.533 0.000 0.000
0.000 11.202 0.000
0.000 0.000 20.032
Sc Ho Dy
4 12 10
Direct
0.000 0.885 0.214 Sc
0.000 0.115 0.786 Sc
0.000 0.385 0.286 Sc
0.000 0.615 0.714 Sc
0.000 0.281 0.555 Ho
0.000 0.219 0.055 Ho
0.500 0.919 0.345 Ho
0.000 0.834 0.617 Ho
0.500 0.081 0.655 Ho
0.000 0.719 0.445 Ho
0.500 0.419 0.155 Ho
0.000 0.166 0.383 Ho
0.000 0.666 0.117 Ho
0.500 0.581 0.845 Ho
0.000 0.334 0.883 Ho
0.000 0.781 0.945 Ho
0.500 0.562 0.578 Dy
0.500 0.500 0.000 Dy
0.500 0.938 0.078 Dy
0.500 0.855 0.779 Dy
0.500 0.062 0.922 Dy
0.500 0.145 0.221 Dy
0.500 0.355 0.721 Dy
0.500 0.438 0.422 Dy
0.500 0.645 0.279 Dy
0.500 0.000 0.500 Dy
```

Results
Its crystal system is orthorhombic. The value obtained for the energy relative to the elements is 0.052 eV per atom. The symmetry is Pbam.